Computed, not measured: a relaxed Y3Er2PaN6 crystal at the PBE level of DFT.

Unit cell a=5.995 b=10.387 c=6.000 alpha=90.00 beta=109.40 gamma=90.00
Space group C2/m (No. 12)
Unique sites:
1 Y 0.000 0.000 0.000 x2
2 Y 0.000 0.331 0.000 x4
3 Er 0.000 0.166 0.500 x4
4 Pa 0.000 0.500 0.500 x2
5 N 0.242 0.338 0.741 x8
6 N 0.244 0.500 0.262 x4

Raw formation energy, meV/atom: -1750
Spin magnetization, Bohr magnetons per cell: 0.000
Energy, eV per atom: -9.0804